Compound: La2Mo2O
Source: the Alexandria database
Functional: PBE+U
Structure: optimized geometry

Cell: 5.9733 5.9733 5.8143 Å, 90.00 90.00 90.00°
Positions (direct):
Mo 0.3343 0.8343 0.0000
Mo 0.8343 0.6657 0.0000
Mo 0.6657 0.1657 0.0000
Mo 0.1657 0.3343 0.0000
O 0.0000 0.0000 0.0000
O 0.5000 0.5000 0.0000
La 0.1712 0.6712 0.5000
La 0.6712 0.8288 0.5000
La 0.8288 0.3288 0.5000
La 0.3288 0.1712 0.5000

Values from the calculation:
Raw total energy (eV per atom): -5.279
Spin magnetization (μB/cell): 1.669
Space group: P4/mbm